--- a ---
This record from Alexandria via LeMat-Bulk describes LaPrTm3 after structural relaxation. The functional is GGA-PBE.

- Spin magnetization: 0.00 μB per formula unit
- Density: 7.29 Mg/m³

abc: 3.668 11.542 8.662
angles: 90.00 102.22 90.00
Space group P2_1/m (No. 11)
Symmetry-distinct sites (fractional):
La 0.186 0.250 0.371
Pr 0.483 0.750 0.979
Tm 0.152 0.750 0.308
Tm 0.340 0.005 0.680



--- b ---
This record from Alexandria via LeMat-Bulk describes LaPrTm3 after structural relaxation. The functional is GGA-PBE.

- Spin magnetization: 0.00 μB per formula unit
- Density: 7.89 Mg/m³

abc: 5.210 11.286 11.268
angles: 90.00 90.00 90.00
Space group Cmmm (No. 65)
Symmetry-distinct sites (fractional):
La 0.000 0.152 0.000
Pr 0.000 0.365 0.500
Tm 0.000 0.153 0.301
Tm 0.000 0.500 0.169



Stability summary - winner: b; margin: 130 meV per atom.



--- a ---
This record from Alexandria via LeMat-Bulk describes LaPr3Tm7 after structural relaxation. The functional is GGA-PBE.

- Spin magnetization: 0.00 μB per formula unit
- Density: 7.71 Mg/m³

abc: 7.0471 7.0471 8.7330
angles: 90.00 90.00 120.00
Space group P3m1 (No. 156)
Symmetry-distinct sites (fractional):
La 0.0000 0.0000 0.0000
Pr 0.1671 0.3342 0.6578
Tm 0.0013 0.5007 0.0003
Tm 0.3333 0.6667 0.3193
Tm 0.3337 0.1669 0.3226



--- b ---
This record from Alexandria via LeMat-Bulk describes LaPr3Tm7 after structural relaxation. The functional is GGA-PBE.

- Spin magnetization: 0.00 μB per formula unit
- Density: 7.96 Mg/m³

abc: 6.525 6.652 8.647
angles: 98.68 99.22 94.79
Space group P-1 (No. 2)
Symmetry-distinct sites (fractional):
La 0.000 0.000 0.000
Pr 0.294 0.436 0.343
Pr 0.500 0.000 0.500
Tm 0.000 0.500 0.000
Tm 0.055 0.205 0.643
Tm 0.233 0.719 0.719
Tm 0.486 0.240 0.911



Stability summary - winner: b; margin: 67 meV per atom.



--- a ---
This record from Alexandria via LeMat-Bulk describes La8PrTm2 after structural relaxation. The functional is GGA-PBE.

- Spin magnetization: 0.00 μB per formula unit
- Density: 6.45 Mg/m³

abc: 19.674 7.211 5.779
angles: 90.00 92.84 90.00
Space group C2/m (No. 12)
Symmetry-distinct sites (fractional):
La 0.044 0.000 0.239
La 0.134 0.225 0.736
La 0.186 0.500 0.237
Pr 0.000 0.500 0.000
Tm 0.216 0.000 0.253



--- b ---
This record from Alexandria via LeMat-Bulk describes La8PrTm2 after structural relaxation. The functional is GGA-PBE.

- Spin magnetization: 0.00 μB per formula unit
- Density: 6.66 Mg/m³

abc: 5.778 8.366 16.398
angles: 90.00 90.00 90.00
Space group Immm (No. 71)
Symmetry-distinct sites (fractional):
La 0.000 0.000 0.164
La 0.000 0.200 0.362
La 0.000 0.295 0.000
Pr 0.000 0.500 0.500
Tm 0.000 0.500 0.201



Stability summary - winner: b; margin: 37 meV per atom.



--- a ---
This record from Alexandria via LeMat-Bulk describes La2Pr6Tm3 after structural relaxation. The functional is GGA-PBE.

- Spin magnetization: 0.00 μB per formula unit
- Density: 6.62 Mg/m³

abc: 5.786 5.786 24.445
angles: 90.00 90.00 90.00
Space group I4/mmm (No. 139)
Symmetry-distinct sites (fractional):
La 0.000 0.000 0.059
Pr 0.000 0.000 0.205
Pr 0.000 0.500 0.097
Tm 0.000 0.000 0.342
Tm 0.000 0.000 0.500



--- b ---
This record from Alexandria via LeMat-Bulk describes La2Pr6Tm3 after structural relaxation. The functional is GGA-PBE.

- Spin magnetization: 0.00 μB per formula unit
- Density: 6.77 Mg/m³

abc: 6.262 10.859 11.943
angles: 90.00 100.18 90.00
Space group C2/m (No. 12)
Symmetry-distinct sites (fractional):
La 0.000 0.167 0.000
Pr 0.247 0.500 0.745
Pr 0.249 0.166 0.745
Tm 0.000 0.000 0.500
Tm 0.000 0.334 0.500



Stability summary - winner: b; margin: 282 meV per atom.



--- a ---
This record from Alexandria via LeMat-Bulk describes La3Pr2Tm3 after structural relaxation. The functional is GGA-PBE.

- Spin magnetization: 0.00 μB per formula unit
- Density: 7.33 Mg/m³

abc: 5.060 5.183 20.827
angles: 90.00 90.00 90.00
Space group Immm (No. 71)
Symmetry-distinct sites (fractional):
La 0.000 0.000 0.000
La 0.000 0.500 0.121
Pr 0.000 0.000 0.249
Tm 0.000 0.000 0.500
Tm 0.000 0.500 0.375



--- b ---
This record from Alexandria via LeMat-Bulk describes La3Pr2Tm3 after structural relaxation. The functional is GGA-PBE.

- Spin magnetization: 0.00 μB per formula unit
- Density: 7.24 Mg/m³

abc: 16.422 5.894 6.117
angles: 90.00 111.03 90.00
Space group C2/m (No. 12)
Symmetry-distinct sites (fractional):
La 0.000 0.000 0.000
La 0.136 0.000 0.696
Pr 0.249 0.500 0.683
Tm 0.000 0.500 0.500
Tm 0.127 0.500 0.082



Stability summary - winner: a; margin: 69 meV per atom.



--- a ---
This record from Alexandria via LeMat-Bulk describes La2Pr4Tm5 after structural relaxation. The functional is GGA-PBE.

- Spin magnetization: 0.00 μB per formula unit
- Density: 7.33 Mg/m³

abc: 3.542 9.261 23.295
angles: 90.00 90.00 90.00
Space group Immm (No. 71)
Symmetry-distinct sites (fractional):
La 0.000 0.000 0.233
Pr 0.000 0.000 0.097
Pr 0.000 0.295 0.500
Tm 0.000 0.189 0.360
Tm 0.000 0.500 0.000



--- b ---
This record from Alexandria via LeMat-Bulk describes La2Pr4Tm5 after structural relaxation. The functional is GGA-PBE.

- Spin magnetization: 0.00 μB per formula unit
- Density: 7.52 Mg/m³

abc: 17.739 3.557 11.842
angles: 90.00 94.62 90.00
Space group C2/m (No. 12)
Symmetry-distinct sites (fractional):
La 0.214 0.000 0.350
Pr 0.035 0.500 0.255
Pr 0.141 0.000 0.799
Tm 0.000 0.000 0.000
Tm 0.094 0.500 0.542
Tm 0.177 0.500 0.064



Stability summary - winner: b; margin: 177 meV per atom.



--- a ---
This record from Alexandria via LeMat-Bulk describes La5Pr2Tm2 after structural relaxation. The functional is GGA-PBE.

- Spin magnetization: 0.00 μB per formula unit
- Density: 6.89 Mg/m³

abc: 11.685 5.192 11.038
angles: 90.00 108.95 90.00
Space group C2/m (No. 12)
Symmetry-distinct sites (fractional):
La 0.000 0.000 0.000
La 0.167 0.500 0.890
La 0.168 0.500 0.555
Pr 0.002 0.000 0.670
Tm 0.167 0.500 0.223



--- b ---
This record from Alexandria via LeMat-Bulk describes La5Pr2Tm2 after structural relaxation. The functional is GGA-PBE.

- Spin magnetization: 0.00 μB per formula unit
- Density: 6.87 Mg/m³

abc: 15.335 13.150 6.305
angles: 90.00 90.00 90.00
Space group Ima2 (No. 46)
Symmetry-distinct sites (fractional):
La 0.048 0.196 0.000
La 0.144 0.685 0.145
La 0.250 0.169 0.235
Pr 0.000 0.000 0.569
Pr 0.250 0.060 0.708
Tm 0.137 0.552 0.640



Stability summary - winner: a; margin: 117 meV per atom.



--- a ---
This record from Alexandria via LeMat-Bulk describes La4Pr3Tm2 after structural relaxation. The functional is GGA-PBE.

- Spin magnetization: 0.00 μB per formula unit
- Density: 6.74 Mg/m³

abc: 13.015 3.741 14.763
angles: 90.00 115.61 90.00
Space group C2/m (No. 12)
Symmetry-distinct sites (fractional):
La 0.218 0.000 0.102
La 0.219 0.500 0.373
Pr 0.000 0.500 0.500
Pr 0.001 0.500 0.120
Tm 0.055 0.000 0.711



--- b ---
This record from Alexandria via LeMat-Bulk describes La4Pr3Tm2 after structural relaxation. The functional is GGA-PBE.

- Spin magnetization: 0.00 μB per formula unit
- Density: 6.90 Mg/m³

abc: 15.627 5.230 8.175
angles: 90.00 108.45 90.00
Space group C2/m (No. 12)
Symmetry-distinct sites (fractional):
La 0.055 0.000 0.329
La 0.223 0.500 0.329
Pr 0.000 0.500 0.000
Pr 0.113 0.500 0.670
Tm 0.169 0.000 0.999



Stability summary - winner: b; margin: 64 meV per atom.